# 1
A relaxed structure of GdHo3Co. Source: Alexandria, functional PBE.

The structure in POSCAR format:
```
GdHo3Co
1.0
5.249 0.000 0.000
0.000 5.249 0.000
0.000 0.000 5.249
Gd Ho Co
1 3 1
direct
0.000 0.000 0.000
0.000 0.500 0.500
0.500 0.000 0.500
0.500 0.500 0.000
0.500 0.500 0.500
```

- energy of formation from the pure elements (eV per atom) = -0.04

# 2
A relaxed structure of CrCoNi2. Source: Alexandria, functional PBE.

The structure in POSCAR format:
```
CrCoNi2
1.0
4.163 -1.240 0.000
4.163 1.240 0.000
-0.736 0.000 4.232
Cr Co Ni
1 1 2
direct
0.000 0.000 0.000
0.500 0.500 0.500
0.249 0.249 0.750
0.751 0.751 0.250
```

- energy of formation from the pure elements (eV per atom) = 0.07

# 3
A relaxed structure of Fe3SbOs. Source: Alexandria, functional PBE.

The structure in POSCAR format:
```
Fe3SbOs
1.0
4.630 0.000 0.000
0.000 4.630 0.000
0.000 0.000 4.630
Fe Sb Os
3 1 1
direct
0.000 0.000 0.500
0.000 0.500 0.000
0.500 0.000 0.000
0.500 0.500 0.500
0.000 0.000 0.000
```

- ΔE_f (raw) (eV per atom) = 1.27